Below is an optimized crystal structure of BC, with properties calculated at the PBE-GGA level.

Output
- Formation energy: 424 meV/atom
- Polymorph energy (0 for the lowest one): 0.273 eV per atom

Unit cell a=4.7381 b=4.7381 c=4.3140 alpha=97.99 beta=97.99 gamma=120.90
Fractional positions:
B  0.1997  0.4769  0.5902
B  0.3103  0.3663  0.0902
B  0.3183  0.7248  0.9678
B  0.6857  0.3411  0.0307
B  0.5581  0.4850  0.4678
B  0.1744  0.8524  0.5307
C  0.8787  0.8852  0.6437
C  0.9624  0.9796  0.0047
C  0.0550  0.7427  0.1379
C  0.8129  0.1291  0.5047
C  0.5760  0.2216  0.6379
C  0.7185  0.0454  0.1437